Entry 1:
Density functional theory data (PBE-GGA) for an optimized crystal structure of TaNbZnNi.

Calculated values
energy = -6.95 eV/atom
energy above the most stable polymorph in this dataset = 0.000 eV per formula unit
energy relative to the elements = 0.25 eV/atom

a b c (Å): 6.3209 6.3209 6.3209
angles (deg): 90.00 90.00 90.00
With the nearest neighbours (Å) after each atom.
Space group F-43m (No. 216)
One atom of each set of equivalent atoms:
Ta 0.0000 0.0000 0.0000  4 Nb 2.74, 4 Ni 2.74
Nb 0.2500 0.2500 0.2500  4 Zn 2.74, 4 Ta 2.74
Zn 0.0000 0.0000 0.5000  4 Nb 2.74, 4 Ni 2.74
Ni 0.2500 0.2500 0.7500  4 Ta 2.74, 4 Zn 2.74

Entry 2:
Density functional theory data (PBE-GGA) for an optimized crystal structure of Li4BiAsPd2.

Calculated values
energy = -3.92 eV/atom

a b c (Å): 4.3947 4.3947 6.4562
angles (deg): 90.00 90.00 90.00
With the nearest neighbours (Å) after each atom.
Space group P-4m2 (No. 115)
One atom of each set of equivalent atoms:
Li 0.0000 0.0000 0.0000  4 Li 2.61, 4 Pd 2.61
Li 0.0000 0.5000 0.2173  2 As 2.61, 4 Li 2.61-2.86, 1 Pd 2.82, 2 Bi 2.86
Li 0.5000 0.5000 0.5000  4 Pd 2.85, 4 Li 2.86, 4 Bi 3.11
Bi 0.0000 0.0000 0.5000  4 Pd 2.85, 8 Li 2.86-3.11
As 0.5000 0.5000 0.0000  4 Li 2.61, 4 Pd 2.61
Pd 0.0000 0.5000 0.7805  2 As 2.61, 5 Li 2.61-2.85, 2 Bi 2.85

Entry 3:
Density functional theory data (PBE-GGA) for an optimized crystal structure of HoLuTc.

Calculated values
energy = -5.59 eV/atom
energy relative to the elements = 0.90 eV/atom

a b c (Å): 6.6748 6.6748 6.6748
angles (deg): 90.00 90.00 90.00
With the nearest neighbours (Å) after each atom.
Space group F-43m (No. 216)
One atom of each set of equivalent atoms:
Ho 0.0000 0.0000 0.0000  4 Lu 2.89
Lu 0.2500 0.2500 0.2500  4 Ho 2.89, 4 Tc 2.89
Tc 0.0000 0.0000 0.5000  4 Lu 2.89

Look up the energy of the first one. -6.95 eV/atom